Entry 1:
{
  "formula": "CsHfSe2Br",
  "functional": "PBE",
  "state": "optimized geometry",
  "e_above_lowest_polymorph_ev_per_atom": 2.437,
  "e_form_raw_mev_per_atom": 1152,
  "lattice": [[5.679, 0.000, 0.000], [0.000, 5.679, 0.000], [0.000, 0.000, 6.125]],
  "species": ["Cs", "Hf", "Se", "Se", "Br"],
  "frac_coords": [[0.000, 0.000, 0.000], [0.500, 0.500, 0.500], [0.000, 0.500, 0.000], [0.500, 0.000, 0.000], [0.000, 0.000, 0.500]]
}



Entry 2:
{
  "formula": "CsHfSe2Br",
  "functional": "PBE",
  "state": "optimized geometry",
  "e_above_lowest_polymorph_ev_per_atom": 0.000,
  "e_form_raw_mev_per_atom": -1285,
  "lattice": [[5.251, 0.000, 0.000], [0.000, 5.251, 0.000], [0.000, 0.000, 5.547]],
  "species": ["Cs", "Hf", "Se", "Se", "Br"],
  "frac_coords": [[0.000, 0.000, 0.000], [0.500, 0.500, 0.500], [0.000, 0.500, 0.500], [0.500, 0.000, 0.500], [0.500, 0.500, 0.000]]
}



Entry 3:
{
  "formula": "Cs2HfSeBr6",
  "functional": "PBE",
  "state": "optimized geometry",
  "e_form_raw_mev_per_atom": -1225,
  "lattice": [[-4.113, 4.113, 6.298], [4.113, -4.113, 6.298], [4.113, 4.113, -6.298]],
  "species": ["Cs", "Cs", "Hf", "Se", "Br", "Br", "Br", "Br", "Br", "Br"],
  "frac_coords": [[0.250, 0.750, 0.500], [0.750, 0.250, 0.500], [0.000, 0.000, 0.000], [0.500, 0.500, 0.000], [0.208, 0.208, 0.000], [0.226, 0.226, 0.451], [0.226, 0.774, 0.000], [0.774, 0.226, 0.000], [0.774, 0.774, 0.549], [0.792, 0.792, 0.000]]
}



Entry 4:
{
  "formula": "Cs2HfSnBr6",
  "functional": "PBE",
  "state": "optimized geometry",
  "e_form_raw_mev_per_atom": -1194,
  "lattice": [[-3.979, 3.979, 6.575], [3.979, -3.979, 6.575], [3.979, 3.979, -6.575]],
  "species": ["Cs", "Cs", "Hf", "Sn", "Br", "Br", "Br", "Br", "Br", "Br"],
  "frac_coords": [[0.250, 0.750, 0.500], [0.750, 0.250, 0.500], [0.000, 0.000, 0.000], [0.500, 0.500, 0.000], [0.203, 0.203, 0.000], [0.234, 0.234, 0.468], [0.234, 0.766, 0.000], [0.766, 0.234, 0.000], [0.766, 0.766, 0.532], [0.797, 0.797, 0.000]]
}



Entry 5:
{
  "formula": "Cs2SrHfBr6",
  "functional": "PBE",
  "state": "optimized geometry",
  "e_form_raw_mev_per_atom": -1518,
  "lattice": [[0.000, 5.736, 5.736], [5.736, 0.000, 5.736], [5.736, 5.736, 0.000]],
  "species": ["Cs", "Cs", "Sr", "Hf", "Br", "Br", "Br", "Br", "Br", "Br"],
  "frac_coords": [[0.250, 0.250, 0.250], [0.750, 0.750, 0.750], [0.000, 0.000, 0.000], [0.500, 0.500, 0.500], [0.262, 0.262, 0.738], [0.262, 0.738, 0.262], [0.262, 0.738, 0.738], [0.738, 0.262, 0.262], [0.738, 0.262, 0.738], [0.738, 0.738, 0.262]]
}



Entry 6:
{
  "formula": "Cs2HfTaBr6",
  "functional": "PBE",
  "state": "optimized geometry",
  "e_form_raw_mev_per_atom": -874,
  "lattice": [[0.000, 5.409, 5.409], [5.409, 0.000, 5.409], [5.409, 5.409, 0.000]],
  "species": ["Cs", "Cs", "Hf", "Ta", "Br", "Br", "Br", "Br", "Br", "Br"],
  "frac_coords": [[0.250, 0.250, 0.250], [0.750, 0.750, 0.750], [0.000, 0.000, 0.000], [0.500, 0.500, 0.500], [0.251, 0.251, 0.749], [0.251, 0.749, 0.251], [0.251, 0.749, 0.749], [0.749, 0.251, 0.251], [0.749, 0.251, 0.749], [0.749, 0.749, 0.251]]
}